First-principles (PBE-GGA) data for a geometry-optimized Pm7Ga2Ag2 structure, as listed in Alexandria via LeMat-Bulk.

The structure in POSCAR format:
```
Pm7Ga2Ag2
1.0
3.8923 -5.4974 0.0000
3.8923 5.4974 0.0000
0.0000 0.0000 7.6947
Pm Ga Ag
7 2 2
direct
0.0000 0.0000 0.0000
0.0000 0.5000 0.2901
0.0000 0.5000 0.7099
0.5000 0.0000 0.2901
0.5000 0.0000 0.7099
0.5000 0.5000 0.2729
0.5000 0.5000 0.7271
0.1646 0.1646 0.5000
0.8354 0.8354 0.5000
0.2910 0.7090 0.0000
0.7090 0.2910 0.0000
```

Values from the calculation:
energy of formation from the pure elements = -4.1 kJ per mole of atoms
V = 29.94 A^3/atom